1.
First-principles (GGA-PBE) data for a relaxed Ba4Pr2Cu6O15 crystal, as listed in Alexandria.

a = 12.3791 Å, b = 12.3766 Å, c = 5.6123 Å
α = 76.92°, β = 76.87°, γ = 26.21°
Last column: nearest neighbours and their distance in Å.
Fractional positions:
Ba 0.1546 0.6717 0.8454  10 O 2.76-3.04
Ba 0.6717 0.1546 0.3283  10 O 2.76-3.04
Ba 0.8454 0.3283 0.1546  10 O 2.76-3.04
Ba 0.3283 0.8454 0.6717  10 O 2.76-3.04
Pr 0.0000 0.5000 0.0000  8 O 2.48-2.53
Pr 0.5000 0.0000 0.5000  8 O 2.48-2.53
Cu 0.2404 0.7596 0.2404  5 O 1.90-1.98
Cu 0.7596 0.2404 0.7596  5 O 1.90-1.98
Cu 0.5769 0.0813 0.9187  5 O 2.00-2.12
Cu 0.0813 0.5769 0.4231  5 O 2.00-2.12
Cu 0.4231 0.9187 0.0813  5 O 2.00-2.12
Cu 0.9187 0.4231 0.5769  5 O 2.00-2.12
O 0.6516 0.1874 0.8126  2 Cu 1.90-2.12
O 0.1874 0.6516 0.3484  2 Cu 1.90-2.12
O 0.3484 0.8126 0.1874  2 Cu 1.90-2.12
O 0.8126 0.3484 0.6516  2 Cu 1.90-2.12
O 0.3139 0.3139 0.6861  2 Cu 2.00
O 0.8170 0.8170 0.1830  2 Cu 2.02
O 0.3150 0.3150 0.1850  2 Cu 2.01
O 0.8150 0.8150 0.6850  2 Cu 2.01
O 0.1830 0.1830 0.8170  2 Cu 2.02
O 0.6861 0.6861 0.3139  2 Cu 2.00
O 0.1850 0.1850 0.3150  2 Cu 2.01
O 0.6850 0.6850 0.8150  2 Cu 2.01
O 0.0000 0.0000 0.0000  2 Cu 1.91
O 0.5000 0.5000 0.0000  2 Cu 1.98
O 0.0000 0.0000 0.5000  2 Cu 1.98

Values from the calculation:
density of states at the Fermi level: 0.54 states/eV/atom
formation energy without anion corrections: -1689 meV/atom
calculated volume: 369.3 Å³/cell
energy: -161.80 eV/f.u.


2.
First-principles (GGA-PBE) data for a relaxed Ce4PrGa5 crystal, as listed in Alexandria.

a = 3.6553 Å, b = 3.6553 Å, c = 18.3465 Å
α = 90.00°, β = 90.00°, γ = 90.00°
Last column: nearest neighbours and their distance in Å.
Fractional positions:
Ce 0.0000 0.0000 0.2037  8 Ga 3.16-3.17
Ce 0.0000 0.0000 0.4016  8 Ga 3.15
Ce 0.0000 0.0000 0.5984  8 Ga 3.15
Ce 0.0000 0.0000 0.7963  8 Ga 3.16-3.17
Pr 0.0000 0.0000 0.0000  8 Ga 3.21
Ga 0.5000 0.5000 0.1034  4 Ce 3.17, 4 Pr 3.21
Ga 0.5000 0.5000 0.3031  8 Ce 3.15-3.16
Ga 0.5000 0.5000 0.5000  8 Ce 3.15
Ga 0.5000 0.5000 0.6969  8 Ce 3.15-3.16
Ga 0.5000 0.5000 0.8966  4 Ce 3.17, 4 Pr 3.21

Values from the calculation:
density of states at the Fermi level: 2.36 states/eV/atom
energy of formation: -0.46 eV per atom
calculated volume: 245.1 Å³/cell
energy: -48.29 eV/f.u.


3.
First-principles (GGA-PBE) data for a relaxed LiBe2Bi2 crystal, as listed in Alexandria.

a = 7.6548 Å, b = 7.6548 Å, c = 3.5541 Å
α = 90.00°, β = 90.00°, γ = 90.00°
Last column: nearest neighbours and their distance in Å.
Fractional positions:
Be 0.1041 0.6041 0.5000  1 Be 2.25
Be 0.6041 0.8959 0.5000  1 Be 2.25
Be 0.8959 0.3959 0.5000  1 Be 2.25
Be 0.3959 0.1041 0.5000  1 Be 2.25
Bi 0.3238 0.8238 0.0000  2 Li 2.82, 6 Be 2.84-2.97
Bi 0.8238 0.6762 0.0000  2 Li 2.82, 6 Be 2.84-2.97
Bi 0.6762 0.1762 0.0000  2 Li 2.82, 6 Be 2.84-2.97
Bi 0.1762 0.3238 0.0000  2 Li 2.82, 6 Be 2.84-2.97
Li 0.0000 0.0000 0.0000  4 Bi 2.82
Li 0.5000 0.5000 0.0000  4 Bi 2.82

Values from the calculation:
density of states at the Fermi level: 0.38 states/eV/atom
energy of formation: 0.40 eV per atom
distance to the lowest polymorph of the same formula: 0.241 eV per atom
calculated volume: 208.3 Å³/cell
energy: -15.11 eV/f.u.